Compound: Pu2Cu2Ni15
Source: Alexandria via LeMat-Bulk
Functional: PBE
Structure: relaxed

a b c (Å): 8.3073 8.3073 12.1033
angles (deg): 90.00 90.00 120.00
Space group R-3m (No. 166, hexagonal axes)
One atom of each set of equivalent atoms:
1 Pu 0.0000 0.0000 0.1574 (multiplicity 6)
2 Cu 0.0000 0.0000 0.4020 (multiplicity 6)
3 Ni 0.0000 0.2996 0.5000 (multiplicity 18)
4 Ni 0.0000 0.5000 0.0000 (multiplicity 9)
5 Ni 0.0011 0.5006 0.6540 (multiplicity 18)

M_tot (μB/cell): 13.2
Electronic total energy (eV/atom): -6.6041
Calculated formation energy (kJ/mol of atoms): -9.7